# 1
# Cd2TeAs2 | Alexandria via LeMat-Bulk | PBE | relaxed
# Space-group type: I4/mmm (139)
# Energy above the most stable polymorph in this dataset (meV/atom): 0
# Raw formation energy (kJ/mol of formula units): 31
data_Cd2TeAs2
_chemical_formula_sum 'Cd2 Te1 As2'
_space_group_name_H-M_alt 'P 1'
_space_group_IT_number 1
_space_group_name_Hall 'P 1'
_cell_length_a 8.275
_cell_length_b 8.275
_cell_length_c 8.275
_cell_angle_alpha 152.55
_cell_angle_beta 152.55
_cell_angle_gamma 39.21
loop_
_atom_site_label
_atom_site_type_symbol
_atom_site_fract_x
_atom_site_fract_y
_atom_site_fract_z
Cd1 Cd 0.100 0.100 0.000
Cd2 Cd 0.900 0.900 0.000
Te1 Te 0.500 0.500 0.000
As1 As 0.250 0.750 0.500
As2 As 0.750 0.250 0.500

=====

# 2
# Ho4InAg | Alexandria via LeMat-Bulk | PBE | relaxed
# Space-group type: P2_1/c (14)
# DFT formation energy (eV per atom): -0.11
data_Ho4InAg
_chemical_formula_sum 'Ho8 In2 Ag2'
_space_group_name_H-M_alt 'P 1'
_space_group_IT_number 1
_space_group_name_Hall 'P 1'
_cell_length_a 6.133
_cell_length_b 9.323
_cell_length_c 6.065
_cell_angle_alpha 90.00
_cell_angle_beta 108.00
_cell_angle_gamma 90.00
loop_
_atom_site_label
_atom_site_type_symbol
_atom_site_fract_x
_atom_site_fract_y
_atom_site_fract_z
Ho1 Ho 0.089 0.165 0.101
Ho2 Ho 0.089 0.335 0.601
Ho3 Ho 0.403 0.660 0.921
Ho4 Ho 0.403 0.840 0.421
Ho5 Ho 0.597 0.160 0.579
Ho6 Ho 0.597 0.340 0.079
Ho7 Ho 0.911 0.665 0.399
Ho8 Ho 0.911 0.835 0.899
In1 In 0.500 0.000 0.000
In2 In 0.500 0.500 0.500
Ag1 Ag 0.000 0.000 0.500
Ag2 Ag 0.000 0.500 0.000

=====

# 3
# Th2Co2Cu | Alexandria via LeMat-Bulk | PBE | relaxed
# Space-group type: Cmmm (65)
# DFT formation energy (eV per atom): -0.25
data_Th2Co2Cu
_chemical_formula_sum 'Th2 Co2 Cu1'
_space_group_name_H-M_alt 'P 1'
_space_group_IT_number 1
_space_group_name_Hall 'P 1'
_cell_length_a 7.158
_cell_length_b 7.158
_cell_length_c 3.698
_cell_angle_alpha 90.00
_cell_angle_beta 90.00
_cell_angle_gamma 148.93
loop_
_atom_site_label
_atom_site_type_symbol
_atom_site_fract_x
_atom_site_fract_y
_atom_site_fract_z
Th1 Th 0.136 0.864 0.000
Th2 Th 0.864 0.136 0.000
Co1 Co 0.319 0.681 0.500
Co2 Co 0.681 0.319 0.500
Cu1 Cu 0.500 0.500 0.500

=====

# 4
# YMo4As | Alexandria via LeMat-Bulk | PBE | relaxed
# Space-group type: F-43m (216)
# DFT formation energy (eV per atom): 0.30
data_YMo4As
_chemical_formula_sum 'Y1 Mo4 As1'
_space_group_name_H-M_alt 'P 1'
_space_group_IT_number 1
_space_group_name_Hall 'P 1'
_cell_length_a 5.383
_cell_length_b 5.383
_cell_length_c 5.383
_cell_angle_alpha 60.00
_cell_angle_beta 60.00
_cell_angle_gamma 60.00
loop_
_atom_site_label
_atom_site_type_symbol
_atom_site_fract_x
_atom_site_fract_y
_atom_site_fract_z
Y1 Y 0.000 0.000 0.000
Mo1 Mo 0.376 0.376 0.376
Mo2 Mo 0.376 0.376 0.871
Mo3 Mo 0.376 0.871 0.376
Mo4 Mo 0.871 0.376 0.376
As1 As 0.750 0.750 0.750

=====

# 5
# ZnPb4Se | Alexandria via LeMat-Bulk | PBE | relaxed
# Space-group type: F-43m (216)
# Raw formation energy (kJ/mol of formula units): 186
data_ZnPb4Se
_chemical_formula_sum 'Zn1 Pb4 Se1'
_space_group_name_H-M_alt 'P 1'
_space_group_IT_number 1
_space_group_name_Hall 'P 1'
_cell_length_a 6.418
_cell_length_b 6.418
_cell_length_c 6.418
_cell_angle_alpha 60.00
_cell_angle_beta 60.00
_cell_angle_gamma 60.00
loop_
_atom_site_label
_atom_site_type_symbol
_atom_site_fract_x
_atom_site_fract_y
_atom_site_fract_z
Zn1 Zn 0.000 0.000 0.000
Pb1 Pb 0.124 0.625 0.625
Pb2 Pb 0.625 0.124 0.625
Pb3 Pb 0.625 0.625 0.124
Pb4 Pb 0.625 0.625 0.625
Se1 Se 0.250 0.250 0.250

=====

# 6
# NdCoRu | Alexandria via LeMat-Bulk | PBE | relaxed
# Space-group type: Imma (74)
# DFT formation energy (eV per atom): -0.10
# Energy above the most stable polymorph in this dataset (meV/atom): 0
data_NdCoRu
_chemical_formula_sum 'Nd2 Co2 Ru2'
_space_group_name_H-M_alt 'P 1'
_space_group_IT_number 1
_space_group_name_Hall 'P 1'
_cell_length_a 5.321
_cell_length_b 5.321
_cell_length_c 5.321
_cell_angle_alpha 121.05
_cell_angle_beta 120.03
_cell_angle_gamma 89.07
loop_
_atom_site_label
_atom_site_type_symbol
_atom_site_fract_x
_atom_site_fract_y
_atom_site_fract_z
Nd1 Nd 0.373 0.123 0.250
Nd2 Nd 0.627 0.877 0.750
Co1 Co 0.000 0.500 0.500
Co2 Co 0.500 0.500 0.000
Ru1 Ru 0.000 0.000 0.500
Ru2 Ru 0.000 0.500 0.000

=====

# 7
# BeHg2F6 | Alexandria via LeMat-Bulk | PBE | relaxed
# Space-group type: P4_2/mnm (136)
# Energy above the most stable polymorph in this dataset (meV/atom): 97
# Raw formation energy (kJ/mol of formula units): -1630
data_BeHg2F6
_chemical_formula_sum 'Be2 Hg4 F12'
_space_group_name_H-M_alt 'P 1'
_space_group_IT_number 1
_space_group_name_Hall 'P 1'
_cell_length_a 4.990
_cell_length_b 4.990
_cell_length_c 9.852
_cell_angle_alpha 90.00
_cell_angle_beta 90.00
_cell_angle_gamma 90.00
loop_
_atom_site_label
_atom_site_type_symbol
_atom_site_fract_x
_atom_site_fract_y
_atom_site_fract_z
Be1 Be 0.000 0.000 0.000
Be2 Be 0.500 0.500 0.500
Hg1 Hg 0.000 0.000 0.335
Hg2 Hg 0.000 0.000 0.665
Hg3 Hg 0.500 0.500 0.165
Hg4 Hg 0.500 0.500 0.835
F1 F 0.172 0.172 0.132
F2 F 0.172 0.172 0.868
F3 F 0.239 0.239 0.500
F4 F 0.261 0.739 0.000
F5 F 0.328 0.672 0.368
F6 F 0.328 0.672 0.632
F7 F 0.672 0.328 0.368
F8 F 0.672 0.328 0.632
F9 F 0.739 0.261 0.000
F10 F 0.761 0.761 0.500
F11 F 0.828 0.828 0.132
F12 F 0.828 0.828 0.868

=====

# 8
# LiLaNp2Se4 | Alexandria via LeMat-Bulk | PBE | relaxed
# Space-group type: P2/m (10)
# Raw formation energy (kJ/mol of formula units): -1047
data_LiLaNp2Se4
_chemical_formula_sum 'Li1 La1 Np2 Se4'
_space_group_name_H-M_alt 'P 1'
_space_group_IT_number 1
_space_group_name_Hall 'P 1'
_cell_length_a 7.136
_cell_length_b 4.153
_cell_length_c 7.284
_cell_angle_alpha 90.00
_cell_angle_beta 109.37
_cell_angle_gamma 90.00
loop_
_atom_site_label
_atom_site_type_symbol
_atom_site_fract_x
_atom_site_fract_y
_atom_site_fract_z
Li1 Li 0.000 0.000 0.000
La1 La 0.500 0.500 0.000
Np1 Np 0.000 0.500 0.500
Np2 Np 0.500 0.000 0.500
Se1 Se 0.238 0.000 0.743
Se2 Se 0.242 0.500 0.251
Se3 Se 0.758 0.500 0.749
Se4 Se 0.762 0.000 0.257

=====

# 9
# KBe2Ge | Alexandria via LeMat-Bulk | PBE | relaxed
# Space-group type: P-1 (2)
# DFT formation energy (eV per atom): 0.14
data_KBe2Ge
_chemical_formula_sum 'K2 Be4 Ge2'
_space_group_name_H-M_alt 'P 1'
_space_group_IT_number 1
_space_group_name_Hall 'P 1'
_cell_length_a 4.249
_cell_length_b 6.800
_cell_length_c 7.276
_cell_angle_alpha 100.20
_cell_angle_beta 106.97
_cell_angle_gamma 90.18
loop_
_atom_site_label
_atom_site_type_symbol
_atom_site_fract_x
_atom_site_fract_y
_atom_site_fract_z
K1 K 0.100 0.297 0.201
K2 K 0.900 0.703 0.799
Be1 Be 0.000 0.000 0.500
Be2 Be 0.146 0.796 0.294
Be3 Be 0.500 0.000 0.500
Be4 Be 0.854 0.204 0.706
Ge1 Ge 0.372 0.229 0.743
Ge2 Ge 0.628 0.771 0.257

=====

# 10
# MgSi2Au | Alexandria via LeMat-Bulk | PBE | relaxed
# Space-group type: Immm (71)
# Raw formation energy (kJ/mol of formula units): 51
data_MgSi2Au
_chemical_formula_sum 'Mg1 Si2 Au1'
_space_group_name_H-M_alt 'P 1'
_space_group_IT_number 1
_space_group_name_Hall 'P 1'
_cell_length_a 5.721
_cell_length_b 5.721
_cell_length_c 5.721
_cell_angle_alpha 148.75
_cell_angle_beta 133.36
_cell_angle_gamma 57.22
loop_
_atom_site_label
_atom_site_type_symbol
_atom_site_fract_x
_atom_site_fract_y
_atom_site_fract_z
Mg1 Mg 0.000 0.000 0.000
Si1 Si 0.274 0.774 0.500
Si2 Si 0.726 0.226 0.500
Au1 Au 0.500 0.500 0.000

=====

# 11
# CrSb2TeSe | Alexandria via LeMat-Bulk | PBE | relaxed
# Space-group type: P4/mmm (123)
# Energy above the most stable polymorph in this dataset (meV/atom): 0
# Raw formation energy (kJ/mol of formula units): 84
data_CrSb2TeSe
_chemical_formula_sum 'Cr1 Sb2 Te1 Se1'
_space_group_name_H-M_alt 'P 1'
_space_group_IT_number 1
_space_group_name_Hall 'P 1'
_cell_length_a 5.233
_cell_length_b 5.233
_cell_length_c 4.484
_cell_angle_alpha 90.00
_cell_angle_beta 90.00
_cell_angle_gamma 90.00
loop_
_atom_site_label
_atom_site_type_symbol
_atom_site_fract_x
_atom_site_fract_y
_atom_site_fract_z
Cr1 Cr 0.000 0.000 0.000
Sb1 Sb 0.000 0.500 0.000
Sb2 Sb 0.500 0.000 0.000
Te1 Te 0.500 0.500 0.500
Se1 Se 0.000 0.000 0.500

=====

# 12
# Ce3SeO4 | Alexandria via LeMat-Bulk | PBE | relaxed
# Space-group type: P4/mmm (123)
# Raw formation energy (kJ/mol of formula units): -2460
data_Ce3SeO4
_chemical_formula_sum 'Ce3 Se1 O4'
_space_group_name_H-M_alt 'P 1'
_space_group_IT_number 1
_space_group_name_Hall 'P 1'
_cell_length_a 3.931
_cell_length_b 3.931
_cell_length_c 9.003
_cell_angle_alpha 90.00
_cell_angle_beta 90.00
_cell_angle_gamma 90.00
loop_
_atom_site_label
_atom_site_type_symbol
_atom_site_fract_x
_atom_site_fract_y
_atom_site_fract_z
Ce1 Ce 0.000 0.000 0.000
Ce2 Ce 0.500 0.500 0.286
Ce3 Ce 0.500 0.500 0.714
Se1 Se 0.000 0.000 0.500
O1 O 0.000 0.500 0.158
O2 O 0.000 0.500 0.842
O3 O 0.500 0.000 0.158
O4 O 0.500 0.000 0.842

=====

| no. | total energy (eV per cell) | N(E_F) (states/eV per atom) |
| --- | --- | --- |
| 1 | -13.9 | 0.271 |
| 2 | -49.1 | 1.020 |
| 3 | -34.4 | 0.844 |
| 4 | -52.6 | 0.982 |
| 5 | -17.7 | 0.278 |
| 6 | -42.9 | 1.492 |
| 7 | -64.9 | 0.000 |
| 8 | -57.5 | 2.593 |
| 9 | -25.2 | 0.022 |
| 10 | -15.2 | 0.382 |
| 11 | -23.6 | 0.580 |
| 12 | -66.6 | 1.741 |